Record 1
Below is a geometry-optimized KLiSn structure, with properties calculated at the PBE level.

a b c (Å): 7.5899 5.4423 9.5825
angles (deg): 90.00 96.20 90.00
With the nearest neighbours (Å) after each atom.
Fractional coordinates of all 12 atoms:
K 0.8630 0.0000 0.1574  2 Li 3.31, 2 Sn 3.53
K 0.1370 0.0000 0.8426  2 Li 3.31, 2 Sn 3.53
K 0.8630 0.5000 0.6574  2 Li 3.31, 2 Sn 3.53
K 0.1370 0.5000 0.3426  2 Li 3.31, 2 Sn 3.53
Li 0.5000 0.7609 0.5000  2 Li 2.60-2.84, 4 Sn 2.86-2.91
Li 0.5000 0.2391 0.5000  2 Li 2.60-2.84, 4 Sn 2.86-2.91
Li 0.5000 0.2609 0.0000  2 Li 2.60-2.84, 4 Sn 2.86-2.91
Li 0.5000 0.7391 0.0000  2 Li 2.60-2.84, 4 Sn 2.86-2.91
Sn 0.3859 0.0000 0.2336  4 Li 2.86-2.91
Sn 0.6141 0.0000 0.7664  4 Li 2.86-2.91
Sn 0.3859 0.5000 0.7336  4 Li 2.86-2.91
Sn 0.6141 0.5000 0.2663  4 Li 2.86-2.91

Output
ΔE to the lowest computed polymorph: 69 meV/atom
ΔE_f: -0.7 eV/f.u.
Space group: C2/m
Final energy: -30.68 eV per cell

***

Record 2
Below is a geometry-optimized KLi6Sn12 structure, with properties calculated at the PBE level.

a b c (Å): 8.1442 8.1442 8.1442
angles (deg): 104.71 104.71 104.71
With the nearest neighbours (Å) after each atom.
Fractional coordinates of all 19 atoms:
K 0.0000 0.0000 0.0000  6 Sn 3.66
Li 0.7139 0.2824 0.2824  7 Sn 2.81-3.00
Li 0.2824 0.2824 0.7139  7 Sn 2.81-3.00
Li 0.2824 0.7139 0.2824  7 Sn 2.81-3.00
Li 0.7176 0.7176 0.2861  7 Sn 2.81-3.00
Li 0.2861 0.7176 0.7176  7 Sn 2.81-3.00
Li 0.7176 0.2861 0.7176  7 Sn 2.81-3.00
Sn 0.8857 0.1143 0.5000  4 Li 2.81-3.00, 1 Sn 2.95
Sn 0.8480 0.5983 0.5983  3 Li 2.87-2.99, 2 Sn 3.17
Sn 0.5983 0.5983 0.8480  3 Li 2.87-2.99, 2 Sn 3.17
Sn 0.4017 0.1520 0.4017  3 Li 2.87-2.99, 2 Sn 3.17
Sn 0.4017 0.4017 0.1520  3 Li 2.87-2.99, 2 Sn 3.17
Sn 0.1520 0.4017 0.4017  3 Li 2.87-2.99, 2 Sn 3.17
Sn 0.1143 0.5000 0.8857  4 Li 2.81-3.00, 1 Sn 2.95
Sn 0.5000 0.8857 0.1143  4 Li 2.81-3.00, 1 Sn 2.95
Sn 0.1143 0.8857 0.5000  4 Li 2.81-3.00, 1 Sn 2.95
Sn 0.8857 0.5000 0.1143  4 Li 2.81-3.00, 1 Sn 2.95
Sn 0.5000 0.1143 0.8857  4 Li 2.81-3.00, 1 Sn 2.95
Sn 0.5983 0.8480 0.5983  3 Li 2.87-2.99, 2 Sn 3.17

Output
ΔE_f: -2.9 eV/f.u.
Space group: R-3m
Final energy: -63.51 eV per cell

***

Record 3
Below is a geometry-optimized KLi2Sn4 structure, with properties calculated at the PBE level.

a b c (Å): 3.3759 10.5818 10.5818
angles (deg): 90.00 90.00 90.00
With the nearest neighbours (Å) after each atom.
Fractional coordinates of all 14 atoms:
K 0.5000 0.0000 0.0000  2 K 3.38, 8 Sn 3.76
K 0.0000 0.5000 0.5000  2 K 3.38, 8 Sn 3.76
Li 0.0000 0.2466 0.7534  6 Sn 2.95-3.04
Li 0.0000 0.7534 0.2466  6 Sn 2.95-3.04
Li 0.5000 0.7466 0.7466  6 Sn 2.95-3.04
Li 0.5000 0.2534 0.2534  6 Sn 2.95-3.04
Sn 0.0000 0.0235 0.3165  3 Li 2.95-3.04, 4 Sn 3.24
Sn 0.0000 0.9765 0.6835  3 Li 2.95-3.04, 4 Sn 3.24
Sn 0.5000 0.1835 0.5235  3 Li 2.95-3.04, 4 Sn 3.24
Sn 0.5000 0.8165 0.4765  3 Li 2.95-3.04, 4 Sn 3.24
Sn 0.5000 0.4765 0.8165  3 Li 2.95-3.04, 4 Sn 3.24
Sn 0.5000 0.5235 0.1835  3 Li 2.95-3.04, 4 Sn 3.24
Sn 0.0000 0.3165 0.0235  3 Li 2.95-3.04, 4 Sn 3.24
Sn 0.0000 0.6835 0.9765  3 Li 2.95-3.04, 4 Sn 3.24

Output
ΔE_f: -1.0 eV/f.u.
Space group: P4_2/mnm
Final energy: -43.78 eV per cell

***

Record 4
Below is a geometry-optimized KLiSn structure, with properties calculated at the PBE level.

a b c (Å): 10.4193 4.5020 9.6137
angles (deg): 90.00 100.15 90.00
With the nearest neighbours (Å) after each atom.
Fractional coordinates of all 12 atoms:
K 0.2796 0.0000 0.7247  3 Sn 3.53-3.62, 2 Li 3.62
K 0.2796 0.5000 0.2247  3 Sn 3.53-3.62, 2 Li 3.62
K 0.9141 0.0000 0.3679  3 Li 3.54-3.76, 2 Sn 3.59
K 0.9141 0.5000 0.8679  3 Li 3.54-3.76, 2 Sn 3.59
Li 0.7057 0.0000 0.6501  4 Sn 2.77-3.01, 2 Li 2.87
Li 0.7057 0.5000 0.1501  4 Sn 2.77-3.01, 2 Li 2.87
Li 0.5413 0.0000 0.1778  4 Sn 2.82-3.12, 2 Li 2.87
Li 0.5413 0.5000 0.6778  4 Sn 2.82-3.12, 2 Li 2.87
Sn 0.6657 0.0000 0.9392  4 Li 2.83-3.01, 2 Sn 3.00
Sn 0.6657 0.5000 0.4392  4 Li 2.83-3.01, 2 Sn 3.00
Sn 0.4779 0.0000 0.4513  2 Li 2.77-2.82, 2 Sn 3.00
Sn 0.4779 0.5000 0.9513  2 Li 2.77-2.82, 2 Sn 3.00

Output
ΔE to the lowest computed polymorph: 72 meV/atom
ΔE_f: -0.6 eV/f.u.
Space group: Cm
Final energy: -30.64 eV per cell

***

Record 5
Below is a geometry-optimized KLiSn structure, with properties calculated at the PBE level.

a b c (Å): 3.7996 3.7996 6.8971
angles (deg): 105.99 105.99 90.00
With the nearest neighbours (Å) after each atom.
Fractional coordinates of all 3 atoms:
K 0.0057 0.0057 0.0114  5 Li 3.59-3.85, 5 Sn 3.70-3.81, 4 K 3.80
Sn 0.7061 0.7061 0.4122  4 Li 2.88
Li 0.2882 0.2882 0.5764  4 Sn 2.88

Output
ΔE to the lowest computed polymorph: 135 meV/atom
ΔE_f: -0.5 eV/f.u.
Space group: I4mm
Final energy: -7.47 eV per cell

***

Record 6
Below is a geometry-optimized KLiSn2 structure, with properties calculated at the PBE level.

a b c (Å): 5.3780 5.3780 5.3780
angles (deg): 60.00 60.00 60.00
With the nearest neighbours (Å) after each atom.
Fractional coordinates of all 4 atoms:
K 0.5000 0.5000 0.5000  8 Sn 3.29
Sn 0.2500 0.2500 0.2500  4 K 3.29, 4 Li 3.29
Sn 0.7500 0.7500 0.7500  4 Li 3.29, 4 K 3.29
Li 0.0000 0.0000 0.0000  8 Sn 3.29

Output
ΔE to the lowest computed polymorph: 244 meV/atom
ΔE_f: -0.1 eV/f.u.
Space group: Fm-3m
Final energy: -11.09 eV per cell

***

- Look up the final energy of the fourth one.
  -30.64 eV per cell

***

- Which value of final energy does entry 4 give?
  -30.64 eV per cell

***

- The highest ΔE_f belongs to which entry?
  KLiSn2